No. 1
# SbPO4, single point on PBEsol structure, DFT SCAN
# - excess energy over the best structure of this formula in the dataset (meV/atom) = 0
# - energy relative to the elements, uncorrected (kJ/mol of formula units) = -1193
data_SbPO4
_symmetry_space_group_name_H-M 'P 1 21/m 1'
_symmetry_Int_Tables_number 11
_cell_length_a 4.742
_cell_length_b 6.822
_cell_length_c 5.042
_cell_angle_alpha 90.00
_cell_angle_beta 97.13
_cell_angle_gamma 90.00
loop_
_symmetry_equiv_pos_as_xyz
'x,y,z'
'-x,-y,-z'
'-x,y+1/2,-z'
'x,-y+1/2,z'
loop_
_atom_site_label
_atom_site_fract_x
_atom_site_fract_y
_atom_site_fract_z
Sb1 0.185 0.250 0.166
P1 0.279 0.750 0.390
O1 0.166 0.571 0.224
O2 0.188 0.750 0.678
O3 0.391 0.250 0.558

---

No. 2
# LiVF4, single point on PBEsol structure, DFT SCAN
# - excess energy over the best structure of this formula in the dataset (meV/atom) = 104
# - energy relative to the elements, uncorrected (kJ/mol of formula units) = -1803
data_LiVF4
_symmetry_space_group_name_H-M 'P m m n'
_symmetry_Int_Tables_number 59
_cell_length_a 10.853
_cell_length_b 15.272
_cell_length_c 3.840
_cell_angle_alpha 90.00
_cell_angle_beta 90.00
_cell_angle_gamma 90.00
loop_
_symmetry_equiv_pos_as_xyz
'x,y,z'
'-x,-y,-z'
'-x+1/2,-y+1/2,z'
'x+1/2,y+1/2,-z'
'x+1/2,-y,-z'
'-x+1/2,y,z'
'-x,y+1/2,-z'
'x,-y+1/2,z'
loop_
_atom_site_label
_atom_site_fract_x
_atom_site_fract_y
_atom_site_fract_z
Li1 0.000 0.000 0.000
Li2 0.250 0.110 0.459
V1 0.011 0.250 0.734
V2 0.250 0.579 0.285
F1 0.009 0.250 0.234
F2 0.118 0.662 0.269
F3 0.126 0.159 0.736
F4 0.129 0.015 0.292
F5 0.250 0.575 0.784

---

No. 3
# CaScNi2, single point on PBEsol structure, DFT SCAN
# - formation enthalpy at 0 K (eV per atom) = -0.136
data_CaScNi2
_symmetry_space_group_name_H-M 'R -3 m'
_symmetry_Int_Tables_number 166
_symmetry_space_group_name_Hall '-R 3 2"'
_cell_length_a 4.2942
_cell_length_b 4.2942
_cell_length_c 14.1920
_cell_angle_alpha 90.00
_cell_angle_beta 90.00
_cell_angle_gamma 120.00
loop_
_atom_site_label
_atom_site_fract_x
_atom_site_fract_y
_atom_site_fract_z
Ca1 0.0000 0.0000 0.0000
Sc1 0.0000 0.0000 0.5000
Ni1 0.0000 0.0000 0.2048

---

No. 4
# Fe4RhAu, single point on PBEsol structure, DFT SCAN
# - formation enthalpy at 0 K (eV per atom) = -0.047
data_Fe4RhAu
_symmetry_space_group_name_H-M 'F -4 3 m'
_symmetry_Int_Tables_number 216
_symmetry_space_group_name_Hall 'F -4 2 3'
_cell_length_a 6.671
_cell_length_b 6.671
_cell_length_c 6.671
_cell_angle_alpha 90.00
_cell_angle_beta 90.00
_cell_angle_gamma 90.00
loop_
_atom_site_label
_atom_site_fract_x
_atom_site_fract_y
_atom_site_fract_z
Fe1 0.125 0.125 0.125
Rh1 0.250 0.250 0.750
Au1 0.000 0.000 0.500